DFT (PBE with a Hubbard U) results for crystalline Mn3CoO at its relaxed geometry.

The density of states at the Fermi level comes out at 3.004 states/eV/f.u. The calculation puts the energy relative to the lowest polymorph listed for this composition at 1.209 eV/atom.

The space group is Pm-3m (No. 221) and the conventional cell measures 4.553, 4.553 and 4.553 Å, with angles of 90.00, 90.00 and 90.00 degrees. The inequivalent atoms are Mn at (0.000, 0.000, 0.500), Co at (0.000, 0.000, 0.000) and O at (0.500, 0.500, 0.500).